{"formula": "BaBiBr", "functional": "GGA-PBE", "state": "optimized geometry", "lattice": [[6.6704, 0.0000, 0.0000], [0.0000, 6.3510, 0.0000], [-2.0122, 0.0000, 10.9059]], "species": ["Ba", "Ba", "Ba", "Ba", "Bi", "Bi", "Bi", "Bi", "Br", "Br", "Br", "Br"], "frac_coords": [[0.2070, 0.0000, 0.2843], [0.2930, 0.5000, 0.7157], [0.7070, 0.5000, 0.2843], [0.7930, 0.0000, 0.7157], [0.2161, 0.0000, 0.9653], [0.2839, 0.5000, 0.0347], [0.7161, 0.5000, 0.9653], [0.7839, 0.0000, 0.0347], [0.2206, 0.5000, 0.3938], [0.2794, 0.0000, 0.6062], [0.7206, 0.0000, 0.3938], [0.7794, 0.5000, 0.6062]], "e_above_lowest_polymorph_ev_per_atom": 0.000, "total_magnetization_mub_per_cell": 0.00}